Material: TmI2
Method: DFT, PBE
State: optimized geometry

Summary:
Its total energy is -3.65 eV/atom. As for the space group: C2/m.

a = 4.073 Å, b = 4.073 Å, c = 7.914 Å
α = 104.39°, β = 104.39°, γ = 59.99°
Positions (direct):
I: 0.748 0.748 0.254
I: 0.252 0.252 0.746
Tm: 0.000 0.000 0.000